# KB3H

KB3H after structural relaxation (PBE, Alexandria).

Calculated values
Polymorph energy (0 for the lowest one) in meV/atom: 1362

CIF file:
```
data_KB3H
_chemical_formula_sum 'K1 B3 H1'
_space_group_name_H-M_alt 'P m -3 m'
_space_group_IT_number 221
_space_group_name_Hall '-P 4 2 3'
_cell_length_a 5.980
_cell_length_b 5.980
_cell_length_c 5.980
_cell_angle_alpha 90.00
_cell_angle_beta 90.00
_cell_angle_gamma 90.00
loop_
_atom_site_label
_atom_site_type_symbol
_atom_site_fract_x
_atom_site_fract_y
_atom_site_fract_z
K1 K 0.000 0.000 0.000
B1 B 0.000 0.000 0.500
H1 H 0.500 0.500 0.500
```